BaLiLa: optimized geometry, PBE.

Summary:
Space group: F-43m (216)
Formation enthalpy at 0 K (eV per atom): 0.451
Excess energy over the best structure of this formula in the dataset (kJ/mol of formula units): 110
Crystal system: cubic

abc: 5.653 5.653 5.653
angles: 60.00 60.00 60.00
Site moments in Bohr magnetons follow the coordinates.
Atoms (fractional coordinates):
Ba1 0.000 0.000 0.000  0.12
La1 0.500 0.500 0.500  0.33
Li1 0.750 0.750 0.750  0.03

---

BaLi2La2: optimized geometry, PBE.

Summary:
Space group: I4/mmm (139)
Formation enthalpy at 0 K (eV per atom): 0.336
Excess energy over the best structure of this formula in the dataset (kJ/mol of formula units): 75
Crystal system: tetragonal

abc: 5.578 5.578 7.095
angles: 66.85 66.85 90.00
Atoms (fractional coordinates):
Li1 0.750 0.250 0.500
Li2 0.250 0.750 0.500
Ba1 0.000 0.000 0.000
La1 0.378 0.378 0.244
La2 0.622 0.622 0.756

---

BaLiLa: optimized geometry, PBE.

Summary:
Space group: C2/m (12)
Formation enthalpy at 0 K (eV per atom): 0.073
Excess energy over the best structure of this formula in the dataset (kJ/mol of formula units): 0
Crystal system: monoclinic

abc: 3.948 3.948 15.847
angles: 104.36 104.36 89.97
Atoms (fractional coordinates):
La1 0.828 0.828 0.578
La2 0.172 0.172 0.422
Ba1 0.538 0.538 0.788
Ba2 0.462 0.462 0.212
Li1 0.213 0.213 0.963
Li2 0.787 0.787 0.037